# 1
DyP2H5O10 | the Alexandria database | meta-GGA SCAN | single point on PBEsol structure; space group = No. 1; uncorrected energy = -10.249 eV per atom
1.0
-4.393 1.631 -4.331
4.250 -1.737 -5.089
-3.566 -8.887 -1.545
Dy P H O
2 4 10 20
Direct
0.628 0.747 0.539
0.373 0.265 0.459
0.192 0.769 0.432
0.809 0.242 0.566
0.931 0.859 0.205
0.070 0.152 0.793
0.292 0.521 0.731
0.708 0.490 0.266
0.239 0.747 0.759
0.762 0.265 0.238
0.017 0.833 0.975
0.983 0.178 0.023
0.863 0.807 0.783
0.137 0.204 0.215
0.629 0.722 0.841
0.371 0.289 0.156
0.148 0.812 0.271
0.853 0.199 0.727
0.957 0.756 0.070
0.043 0.255 0.928
0.339 0.591 0.439
0.662 0.420 0.558
0.352 0.654 0.728
0.649 0.357 0.269
0.332 0.937 0.461
0.669 0.075 0.537
0.747 0.765 0.303
0.254 0.247 0.695
0.984 0.748 0.524
0.017 0.264 0.474
0.924 0.084 0.170
0.077 0.927 0.827
0.737 0.739 0.760
0.263 0.273 0.238
0.473 0.931 0.002
0.531 0.103 0.993

# 2
CrTeW3 | the Alexandria database | meta-GGA SCAN | single point on PBEsol structure; space group = No. 221; uncorrected energy = -50.229 eV per atom; formation energy from raw total energies = 13.6 eV/f.u.
1.0
-4.664 -0.622 1.012
1.059 -0.314 4.684
-0.539 4.762 0.442
Cr Te W
1 1 3
Direct
0.500 0.500 0.500
0.000 0.000 0.000
0.000 0.500 0.000
0.000 0.000 0.500
0.500 0.000 0.000

# 3
Na3Sm | the Alexandria database | meta-GGA SCAN | single point on PBEsol structure; energy relative to the elements = 357 meV/atom; space group = No. 139; uncorrected energy = -13.915 eV per atom
1.0
-0.942 3.848 -2.909
1.830 -2.457 -3.843
-5.488 -2.752 2.289
Na Sm
3 1
Direct
0.250 0.750 0.500
0.750 0.250 0.500
0.500 0.500 0.000
0.000 0.000 0.000

# 4
CaNiAu3 | the Alexandria database | meta-GGA SCAN | single point on PBEsol structure; energy relative to the elements = -208 meV/atom; space group = No. 221; uncorrected energy = -46.870 eV per atom
1.0
-3.444 -3.216 0.538
2.156 -1.659 3.885
-2.447 3.066 2.667
Ni Ca Au
1 1 3
Direct
0.000 0.000 0.000
0.500 0.500 0.500
0.000 0.500 0.000
0.000 0.000 0.500
0.500 0.000 0.000

# 5
CaHgTeI2 | the Alexandria database | meta-GGA SCAN | single point on PBEsol structure; space group = No. 123; uncorrected energy = -38.125 eV per atom; formation energy from raw total energies = -2.1 eV/f.u.
1.0
5.692 0.000 0.000
0.000 5.692 0.000
0.000 0.000 5.713
I Ca Te Hg
2 1 1 1
Direct
0.000 0.500 0.000
0.500 0.000 0.000
0.500 0.500 0.500
0.000 0.000 0.500
0.000 0.000 0.000

# 6
Ti2HgPtF | the Alexandria database | meta-GGA SCAN | single point on PBEsol structure; space group = No. 123; uncorrected energy = -34.791 eV per atom; formation energy from raw total energies = 0.0 eV/f.u.
1.0
-0.561 3.280 2.498
-2.327 -2.831 3.195
4.218 -0.966 2.216
F Hg Pt Ti
1 1 1 2
Direct
0.500 0.000 0.000
0.500 0.500 0.500
0.000 0.000 0.000
0.000 0.000 0.500
0.000 0.500 0.000

# 7
SnOsSN2 | the Alexandria database | meta-GGA SCAN | single point on PBEsol structure; space group = No. 123; uncorrected energy = -25.106 eV per atom; formation energy from raw total energies = 10.5 eV/f.u.
1.0
3.918 0.000 0.000
0.000 3.918 0.000
0.000 0.000 5.304
S Os Sn N
1 1 1 2
Direct
0.000 0.000 0.500
0.500 0.500 0.500
0.000 0.000 0.000
0.000 0.500 0.000
0.500 0.000 0.000

# 8
CaTe2Rh | the Alexandria database | meta-GGA SCAN | single point on PBEsol structure; space group = No. 38; uncorrected energy = -30.294 eV per atom; formation energy from raw total energies = -3.2 eV/f.u.
1.0
-2.411 -3.471 0.950
-0.848 -0.644 -4.505
5.711 -1.501 -0.860
Ca Te Rh
1 2 1
Direct
0.391 0.000 0.407
0.099 0.000 0.822
0.815 0.500 0.255
0.195 0.500 0.016

# 9
KW2Se | the Alexandria database | meta-GGA SCAN | single point on PBEsol structure; space group = No. 8; uncorrected energy = -41.299 eV per atom; formation energy from raw total energies = 2.6 eV/f.u.
1.0
-2.902 -1.158 -0.013
1.637 0.066 4.155
-2.653 6.647 -0.007
K Se W
1 1 2
Direct
0.509 0.018 0.513
0.267 0.535 0.841
0.998 0.995 0.007
0.726 0.452 0.139

# 10
IrOsW2 | the Alexandria database | meta-GGA SCAN | single point on PBEsol structure; energy relative to the elements = -159 meV/atom; space group = No. 139; uncorrected energy = -70.748 eV per atom
1.0
3.904 0.000 0.000
0.000 3.904 0.000
-1.952 -1.952 3.878
Ir Os W
1 1 2
Direct
0.500 0.500 0.000
0.000 0.000 0.000
0.750 0.250 0.500
0.250 0.750 0.500

# 11
InSe | the Alexandria database | meta-GGA SCAN | single point on PBEsol structure; space group = No. 160; uncorrected energy = -27.340 eV per atom; formation energy from raw total energies = -1.2 eV/f.u.
1.0
-3.060 -1.960 -1.679
-0.714 -3.814 0.982
-6.270 0.605 5.949
Se In
2 2
Direct
0.171 0.171 0.486
0.384 0.384 0.847
0.000 0.000 0.001
0.889 0.889 0.333

# 12
LiCd2In | the Alexandria database | meta-GGA SCAN | single point on PBEsol structure; energy relative to the elements = -139 meV/atom; space group = No. 8; uncorrected energy = -24.290 eV per atom
1.0
-0.230 -2.326 -2.087
4.895 0.462 1.298
-1.711 -3.422 4.002
Li In Cd
1 1 2
Direct
0.251 0.502 0.754
0.503 0.006 0.512
0.997 0.994 0.992
0.749 0.498 0.243

# 13
Zr3PdRu | the Alexandria database | meta-GGA SCAN | single point on PBEsol structure; energy relative to the elements = 253 meV/atom; space group = No. 221; uncorrected energy = -31.687 eV per atom
1.0
4.877 0.000 0.000
0.000 4.877 0.000
0.000 0.000 4.877
Ru Zr Pd
1 3 1
Direct
0.000 0.000 0.000
0.000 0.500 0.000
0.000 0.000 0.500
0.500 0.000 0.000
0.500 0.500 0.500

# 14
Sr2MgBr | the Alexandria database | meta-GGA SCAN | single point on PBEsol structure; space group = No. 216; uncorrected energy = -17.346 eV per atom; formation energy from raw total energies = -0.4 eV/f.u.
1.0
-2.061 3.189 4.629
-0.243 -2.456 5.455
3.762 1.838 4.280
Br Mg Sr
1 1 2
Direct
0.500 0.500 0.500
0.250 0.250 0.250
0.000 0.000 0.000
0.750 0.750 0.750

# 15
Gd5Y3O12 | the Alexandria database | meta-GGA SCAN | single point on PBEsol structure; space group = No. 24; uncorrected energy = -26.426 eV per atom; formation energy from raw total energies = -76.1 eV/f.u.
1.0
-3.811 -5.270 -6.549
6.541 -4.809 4.390
-3.761 -7.488 3.869
Gd Y O
10 6 24
Direct
0.033 0.283 0.750
0.250 0.033 0.717
0.250 0.532 0.218
0.532 0.782 0.750
0.467 0.217 0.250
0.750 0.467 0.783
0.750 0.968 0.282
0.718 0.250 0.532
0.782 0.750 0.968
0.968 0.718 0.250
0.499 0.500 0.501
0.217 0.250 0.033
0.283 0.750 0.467
0.002 0.501 0.999
0.001 0.999 0.499
0.498 0.000 0.001
0.236 0.267 0.272
0.264 0.492 0.469
0.726 0.737 0.233
0.034 0.544 0.729
0.227 0.956 0.510
0.530 0.763 0.011
0.961 0.233 0.031
0.539 0.008 0.228
0.231 0.772 0.241
0.269 0.528 0.959
0.510 0.274 0.459
0.990 0.031 0.736
0.733 0.469 0.041
0.767 0.226 0.764
0.013 0.972 0.259
0.487 0.728 0.541
0.458 0.989 0.774
0.042 0.768 0.969
0.466 0.237 0.990
0.774 0.041 0.489
0.273 0.263 0.771
0.970 0.459 0.267
0.763 0.732 0.726
0.737 0.511 0.531

# 16
LiVTe2WO12 | the Alexandria database | meta-GGA SCAN | single point on PBEsol structure; space group = No. 1; uncorrected energy = -15.714 eV per atom; formation energy from raw total energies = -28.3 eV/f.u.
1.0
-2.850 1.582 -3.850
2.719 -3.049 -3.248
-4.454 -5.684 0.939
Li V Te W O
1 1 2 1 12
Direct
0.499 0.088 0.298
0.490 0.503 0.512
0.502 0.493 0.000
0.993 0.998 0.495
0.007 0.990 0.991
0.691 0.791 0.432
0.885 0.983 0.748
0.688 0.171 0.054
0.787 0.291 0.432
0.191 0.299 0.935
0.610 0.486 0.742
0.388 0.480 0.246
0.818 0.680 0.051
0.203 0.684 0.549
0.316 0.805 0.936
0.123 0.987 0.243
0.309 0.185 0.543

# 17
Al2SnWO | the Alexandria database | meta-GGA SCAN | single point on PBEsol structure; space group = No. 123; uncorrected energy = -25.430 eV per atom; formation energy from raw total energies = 0.2 eV/f.u.
1.0
-3.937 1.430 -0.874
0.285 -1.628 -3.947
-1.593 -3.557 1.352
O Sn W Al
1 1 1 2
Direct
0.000 0.000 0.000
0.500 0.500 0.500
0.000 0.000 0.500
0.000 0.500 0.000
0.500 0.000 0.000

# 18
Nd2TiO5 | the Alexandria database | meta-GGA SCAN | single point on PBEsol structure; space group = No. 62; uncorrected energy = -20.462 eV per atom; formation energy from raw total energies = -29.3 eV/f.u.
1.0
-1.213 0.193 -3.608
9.688 -2.988 -3.416
-3.202 -10.941 0.491
Nd Ti O
8 4 20
Direct
0.250 0.894 0.720
0.750 0.106 0.280
0.250 0.394 0.780
0.750 0.606 0.220
0.750 0.637 0.556
0.250 0.363 0.444
0.750 0.137 0.944
0.250 0.863 0.056
0.750 0.683 0.876
0.250 0.317 0.124
0.750 0.183 0.624
0.250 0.817 0.376
0.750 0.521 0.840
0.250 0.479 0.160
0.750 0.021 0.660
0.250 0.979 0.340
0.750 0.767 0.729
0.250 0.233 0.271
0.750 0.267 0.771
0.250 0.733 0.229
0.250 0.737 0.879
0.750 0.263 0.121
0.250 0.237 0.621
0.750 0.763 0.379
0.750 0.991 0.104
0.250 0.009 0.896
0.750 0.491 0.396
0.250 0.509 0.604
0.750 0.723 0.037
0.250 0.277 0.963
0.750 0.223 0.463
0.250 0.777 0.537

# 19
Y2AlIn | the Alexandria database | meta-GGA SCAN | single point on PBEsol structure; energy relative to the elements = -553 meV/atom; space group = No. 38; uncorrected energy = -24.759 eV per atom
1.0
3.799 0.000 0.000
0.000 4.521 0.000
-1.899 0.000 5.845
Y Al In
2 1 1
Direct
0.093 0.000 0.186
0.403 0.500 0.805
0.824 0.000 0.648
0.678 0.500 0.355

# 20
FeTc2W | the Alexandria database | meta-GGA SCAN | single point on PBEsol structure; energy relative to the elements = -16 meV/atom; space group = No. 123; uncorrected energy = -39.500 eV per atom
1.0
-0.952 0.893 2.805
-1.548 -3.868 0.705
3.711 -1.187 1.637
Tc W Fe
2 1 1
Direct
0.000 0.000 0.500
0.000 0.500 0.000
0.500 0.500 0.500
0.500 0.000 0.000

# 21
YNiMo | the Alexandria database | meta-GGA SCAN | single point on PBEsol structure; energy relative to the elements = 198 meV/atom; space group = No. 107; uncorrected energy = -26.103 eV per atom
1.0
3.055 0.040 0.000
-0.037 3.055 0.000
-1.509 -1.548 5.572
Mo Ni Y
1 1 1
Direct
0.030 0.030 0.059
0.640 0.640 0.281
0.330 0.330 0.660

# 22
ZrSi2Hg | the Alexandria database | meta-GGA SCAN | single point on PBEsol structure; space group = No. 122; uncorrected energy = -29.535 eV per atom; formation energy from raw total energies = 0.8 eV/f.u.
1.0
-2.075 5.045 -2.142
-3.324 -3.103 3.696
4.719 1.517 3.127
Si Hg Zr
4 2 2
Direct
0.894 0.875 0.519
0.356 0.375 0.481
0.125 0.644 0.019
0.625 0.106 0.981
0.000 0.000 0.000
0.250 0.750 0.500
0.500 0.500 0.000
0.750 0.250 0.500

# 23
MgCdHg2 | the Alexandria database | meta-GGA SCAN | single point on PBEsol structure; energy relative to the elements = -68 meV/atom; space group = No. 122; uncorrected energy = -42.998 eV per atom
1.0
4.390 0.000 0.000
0.000 4.390 0.000
-2.195 -2.195 9.776
Mg Hg Cd
2 4 2
Direct
0.750 0.250 0.500
0.500 0.500 0.000
0.380 0.875 0.250
0.870 0.375 0.250
0.125 0.130 0.750
0.625 0.620 0.750
0.250 0.750 0.500
0.000 0.000 0.000